Entry 1:
# ScZn2Cu

A relaxed ScZn2Cu crystal (GGA-PBE, the Alexandria database).

Unit cell a=3.0252 b=4.3555 c=5.1285 alpha=90.00 beta=91.99 gamma=90.00
With the nearest neighbours (Å) after each atom.
Space group Pm (No. 6)
Unique sites:
Sc 0.0000 0.0000 0.0000  8 Zn 2.89-3.09, 4 Cu 2.89-2.92, 2 Sc 3.03
Zn 0.4916 0.0000 0.5129  2 Zn 2.53, 2 Cu 2.54
Zn 0.5223 0.5000 0.2621  2 Cu 2.53-2.61, 2 Zn 2.53
Cu 0.4783 0.5000 0.7685  4 Zn 2.53-2.61

Output
DFT total energy   -3.4043 eV/atom
M_tot   0.00 Bohr magnetons per cell
DOS at the Fermi energy   1.81 states/eV/f.u.
ΔH_f (0 K)   -0.16 eV/atom

=====

Entry 2:
# Pr6Y2Ho3Tm

A relaxed Pr6Y2Ho3Tm crystal (GGA-PBE, the Alexandria database).

Unit cell a=6.3029 b=10.9157 c=11.8657 alpha=90.00 beta=100.18 gamma=90.00
With the nearest neighbours (Å) after each atom.
Space group C2/m (No. 12)
Unique sites:
Pr 0.2486 0.0000 0.2492  3 Ho 3.59, 1 Tm 3.60, 2 Y 3.61, 6 Pr 3.63-3.65
Pr 0.2498 0.1661 0.7506  3 Ho 3.59-3.60, 1 Tm 3.60, 2 Y 3.60-3.61, 6 Pr 3.63-3.65
Y 0.0000 0.3334 0.5000  6 Pr 3.60-3.61, 3 Y 3.64, 3 Tm 3.64
Ho 0.0000 0.1667 0.0000  6 Pr 3.59-3.60, 6 Ho 3.64
Ho 0.0000 0.5000 0.0000  6 Pr 3.59, 6 Ho 3.64
Tm 0.0000 0.0000 0.5000  6 Pr 3.60, 6 Y 3.64

Output
DFT total energy   -4.9730 eV/atom
M_tot   0.00 Bohr magnetons per cell
DOS at the Fermi energy   12.85 states/eV/f.u.
ΔH_f (0 K)   0.01 eV/atom

=====

Entry 3:
# Sm2P4RuRh3

A relaxed Sm2P4RuRh3 crystal (GGA-PBE, the Alexandria database).

Unit cell a=4.1547 b=4.1547 c=9.5089 alpha=90.00 beta=90.00 gamma=90.00
With the nearest neighbours (Å) after each atom.
Space group P-4m2 (No. 115)
Unique sites:
Sm 0.0000 0.5000 0.2395  8 P 3.08-3.18, 7 Rh 3.17-3.37, 2 Ru 3.23
P 0.0000 0.0000 0.0000  4 Rh 2.35
P 0.0000 0.5000 0.6334  3 Rh 2.40-2.43, 2 Ru 2.43
P 0.5000 0.5000 0.0000  4 Rh 2.35
Ru 0.0000 0.0000 0.5000  4 P 2.43
Rh 0.0000 0.5000 0.8856  5 P 2.35-2.40
Rh 0.5000 0.5000 0.5000  4 P 2.43

Output
DFT total energy   -7.3262 eV/atom
M_tot   0.00 Bohr magnetons per cell
DOS at the Fermi energy   3.92 states/eV/f.u.
ΔH_f (0 K)   -1.09 eV/atom

=====

Entry 4:
# HOs2Cl

A relaxed HOs2Cl crystal (GGA-PBE, the Alexandria database).

Unit cell a=4.8276 b=4.8276 c=8.8462 alpha=90.00 beta=90.00 gamma=90.00
With the nearest neighbours (Å) after each atom.
Space group I-42d (No. 122)
Unique sites:
H 0.0000 0.0000 0.0000  4 Os 1.76
Os 0.1367 0.2500 0.1250  2 H 1.76
Cl 0.0000 0.0000 0.5000  4 Os 2.40

Output
DFT total energy   -5.9652 eV/atom
M_tot   0.00 Bohr magnetons per cell
DOS at the Fermi energy   0.00 states/eV/f.u.
Polymorph energy (0 for the lowest one)   0.0 meV/atom

=====

Entry 5:
# ZrSi

A relaxed ZrSi crystal (GGA-PBE, the Alexandria database).

Unit cell a=6.0877 b=6.0877 c=6.0877 alpha=90.00 beta=90.00 gamma=90.00
With the nearest neighbours (Å) after each atom.
Space group F-43m (No. 216)
Unique sites:
Zr 0.0000 0.0000 0.0000  4 Si 2.64
Si 0.2500 0.2500 0.7500  4 Zr 2.64

Output
DFT total energy   -6.5753 eV/atom
M_tot   0.00 Bohr magnetons per cell
DOS at the Fermi energy   0.79 states/eV/f.u.